A relaxed structure of TbSiNiGe2, computed with PBE.

Its electronic total energy is -5.590 eV per atom.

The structure belongs to space group Cmmm (No. 65); the cell edges are 4.048, 21.466 and 4.075 Å and the angles 90.00°, 90.00° and 90.00°. The distinct sites, in fractional coordinates, are Tb at (0.000, 0.172, 0.000), Si at (0.000, 0.281, 0.500), Ni at (0.000, 0.385, 0.500), Ge at (0.000, 0.058, 0.500) and Ge at (0.000, 0.442, 0.000).